1.
A geometry-optimized CePm2Pb structure, computed with PBE.

Cell lengths 4.158, 4.158, 7.092 Å; angles 90.00, 90.00, 90.00 degrees
Fractional positions:
Ce 0.000 0.000 0.000
Pm 0.500 0.500 0.269
Pm 0.500 0.500 0.731
Pb 0.000 0.000 0.500

## Properties
- D(E_F): 1.797 states/eV per atom
- SG: No. 123
- Calculated total energy: -19.90 eV per cell
- Energy relative to the lowest polymorph listed for this composition: 96 meV/atom


2.
A geometry-optimized MnRe2Sb structure, computed with PBE.

Cell lengths 3.172, 4.350, 4.594 Å; angles 90.00, 90.00, 90.00 degrees
Fractional positions:
Mn 0.000 0.000 0.000
Re 0.000 0.500 0.500
Re 0.500 0.000 0.500
Sb 0.500 0.500 0.000

## Properties
- D(E_F): 1.143 states/eV per atom
- SG: No. 47
- Calculated total energy: -36.02 eV per cell
- Formation energy without anion corrections: 542 meV/atom


Number 2 is which compound?
MnRe2Sb


calculated total energy of number 1 (CePm2Pb)?
-19.90 eV per cell


Which value of D(E_F) does entry 2 give?
1.143 states/eV per atom


What is the formula in the second record?
MnRe2Sb